# 1
{"formula": "Mg5Te", "functional": "SCAN", "state": "PBEsol geometry", "polymorph_energy_mev_per_atom": 236, "formation_energy_uncorrected_mev_per_atom": 137, "dft_energy_ev_per_atom": -10.22, "magmom_total_mub_per_cell": 0.0, "lattice_angstrom": [[5.1328, 0.0000, 0.0000], [0.0000, 5.8421, 0.0000], [0.0000, -2.9210, 5.0594]], "species": ["Mg", "Mg", "Mg", "Mg", "Mg", "Te"], "frac_coords": [[0.0000, 0.6667, 0.3333], [0.0000, 0.3333, 0.6667], [0.5000, 0.5000, 0.5000], [0.5000, 0.0000, 0.5000], [0.5000, 0.5000, 0.0000], [0.0000, 0.0000, 0.0000]]}

# 2
{"formula": "MgTe2", "functional": "SCAN", "state": "PBEsol geometry", "formation_energy_uncorrected_mev_per_atom": -279, "dft_energy_ev_per_atom": -26.77, "magmom_total_mub_per_cell": 0.0, "lattice_angstrom": [[-2.2737, 2.1107, -0.3077], [-4.2962, -5.1702, -3.7192], [-3.0282, -2.2885, 6.6793]], "species": ["Mg", "Mg", "Te", "Te", "Te", "Te"], "frac_coords": [[0.0000, 0.5000, 0.5000], [0.5000, 0.0000, 0.0000], [0.0000, 0.7796, 0.7796], [0.0000, 0.2204, 0.2204], [0.5000, 0.7204, 0.2796], [0.5000, 0.2796, 0.7204]]}

# 3
{"formula": "MgTe2", "functional": "SCAN", "state": "PBEsol geometry", "formation_energy_uncorrected_mev_per_atom": -674, "dft_energy_ev_per_atom": -27.17, "magmom_total_mub_per_cell": 0.0, "lattice_angstrom": [[7.0031, 0.0000, 0.0000], [0.0000, 7.0031, 0.0000], [0.0000, 0.0000, 7.0031]], "species": ["Mg", "Mg", "Mg", "Mg", "Te", "Te", "Te", "Te", "Te", "Te", "Te", "Te"], "frac_coords": [[0.0000, 0.0000, 0.0000], [0.5000, 0.0000, 0.5000], [0.0000, 0.5000, 0.5000], [0.5000, 0.5000, 0.0000], [0.3859, 0.3859, 0.3859], [0.1141, 0.6141, 0.8859], [0.6141, 0.8859, 0.1141], [0.8859, 0.1141, 0.6141], [0.6141, 0.6141, 0.6141], [0.8859, 0.3859, 0.1141], [0.3859, 0.1141, 0.8859], [0.1141, 0.8859, 0.3859]]}

# 4
{"formula": "Mg3Te", "functional": "SCAN", "state": "PBEsol geometry", "polymorph_energy_mev_per_atom": 0, "formation_energy_uncorrected_mev_per_atom": -180, "dft_energy_ev_per_atom": -13.22, "magmom_total_mub_per_cell": 0.0, "lattice_angstrom": [[4.3552, 0.0000, 0.0000], [0.0000, 4.3552, 0.0000], [-2.1776, -2.1776, 10.0250]], "species": ["Mg", "Mg", "Mg", "Mg", "Mg", "Mg", "Te", "Te"], "frac_coords": [[0.0000, 0.5000, 0.0000], [0.5000, 0.0000, 0.0000], [0.7500, 0.2500, 0.5000], [0.2500, 0.7500, 0.5000], [0.8694, 0.8694, 0.7388], [0.1306, 0.1306, 0.2612], [0.6094, 0.6094, 0.2188], [0.3906, 0.3906, 0.7812]]}

# 5
{"formula": "MgTe2", "functional": "SCAN", "state": "PBEsol geometry", "formation_energy_uncorrected_mev_per_atom": -554, "dft_energy_ev_per_atom": -27.05, "magmom_total_mub_per_cell": 0.0, "lattice_angstrom": [[-2.2375, 3.3956, -1.9486], [0.8348, -3.7755, -2.3201], [-9.5432, -4.2707, 3.5161]], "species": ["Mg", "Mg", "Te", "Te", "Te", "Te"], "frac_coords": [[0.0000, 0.0000, 0.0000], [0.0000, 0.0000, 0.5000], [0.6667, 0.3333, 0.1237], [0.3333, 0.6667, 0.6237], [0.6667, 0.3333, 0.3763], [0.3333, 0.6667, 0.8763]]}

# 6
{"formula": "Mg2Tl2Te", "functional": "SCAN", "state": "PBEsol geometry", "formation_energy_uncorrected_mev_per_atom": 72, "dft_energy_ev_per_atom": -38.31, "magmom_total_mub_per_cell": 0.0, "lattice_angstrom": [[4.2057, 0.0000, 0.0000], [0.0000, 4.2057, 0.0000], [-2.1028, -2.1028, 8.1122]], "species": ["Tl", "Tl", "Te", "Mg", "Mg"], "frac_coords": [[0.4026, 0.4026, 0.8051], [0.5974, 0.5974, 0.1949], [0.0000, 0.0000, 0.0000], [0.2500, 0.7500, 0.5000], [0.7500, 0.2500, 0.5000]]}

# 7
{"formula": "MgTeW2", "functional": "SCAN", "state": "PBEsol geometry", "polymorph_energy_mev_per_atom": 390, "formation_energy_uncorrected_mev_per_atom": 1031, "dft_energy_ev_per_atom": -44.37, "magmom_total_mub_per_cell": 0.0, "lattice_angstrom": [[4.5825, 0.0000, 0.0000], [2.2912, 3.9685, 0.0000], [2.2912, 1.3228, 3.7416]], "species": ["Mg", "Te", "W", "W"], "frac_coords": [[0.0000, 0.0000, 0.0000], [0.5000, 0.5000, 0.5000], [0.7500, 0.7500, 0.7500], [0.2500, 0.2500, 0.2500]]}

# 8
{"formula": "Mg2TeW", "functional": "SCAN", "state": "PBEsol geometry", "formation_energy_uncorrected_mev_per_atom": 523, "dft_energy_ev_per_atom": -28.70, "magmom_total_mub_per_cell": 0.8, "lattice_angstrom": [[3.9965, 0.0000, 0.0000], [0.0000, 3.9965, 0.0000], [-1.9983, -1.9983, 4.7108]], "species": ["Mg", "Mg", "Te", "W"], "frac_coords": [[0.7500, 0.2500, 0.5000], [0.2500, 0.7500, 0.5000], [0.5000, 0.5000, 0.0000], [0.0000, 0.0000, 0.0000]]}

# 9
{"formula": "Mg2TeW", "functional": "SCAN", "state": "PBEsol geometry", "formation_energy_uncorrected_mev_per_atom": 560, "dft_energy_ev_per_atom": -28.66, "magmom_total_mub_per_cell": 0.0, "lattice_angstrom": [[-2.2093, 1.2132, -1.7445], [2.3987, -0.9254, -1.6692], [-3.9852, -8.6205, -0.9479]], "species": ["Mg", "Mg", "Te", "W"], "frac_coords": [[0.0000, 0.0000, 0.0200], [0.5000, 0.5000, 0.7580], [0.0000, 0.0000, 0.4711], [0.5000, 0.5000, 0.2509]]}

# 10
{"formula": "MgTeW2", "functional": "SCAN", "state": "PBEsol geometry", "polymorph_energy_mev_per_atom": 0, "formation_energy_uncorrected_mev_per_atom": 640, "dft_energy_ev_per_atom": -44.76, "magmom_total_mub_per_cell": 0.0, "lattice_angstrom": [[3.1724, 0.0000, 0.0000], [0.0000, 4.6771, -0.0034], [-1.5862, -0.6656, 4.7517]], "species": ["Mg", "Te", "W", "W"], "frac_coords": [[0.5000, 0.0000, 0.0000], [0.0000, 0.5000, 0.0000], [0.2522, 0.2422, 0.5043], [0.7478, 0.7578, 0.4957]]}

# 11
{"formula": "MgTeW2", "functional": "SCAN", "state": "PBEsol geometry", "polymorph_energy_mev_per_atom": 390, "formation_energy_uncorrected_mev_per_atom": 1031, "dft_energy_ev_per_atom": -44.37, "magmom_total_mub_per_cell": 0.0, "lattice_angstrom": [[2.8402, 0.0040, 0.0000], [-0.9850, 2.6639, 0.0000], [0.0000, 0.0000, 9.6106]], "species": ["Mg", "Te", "W", "W"], "frac_coords": [[0.5000, 0.5000, 0.5000], [0.5000, 0.5000, 0.0000], [0.0000, 0.0000, 0.2553], [0.0000, 0.0000, 0.7447]]}

# 12
{"formula": "MgTeW2", "functional": "SCAN", "state": "PBEsol geometry", "polymorph_energy_mev_per_atom": 154, "formation_energy_uncorrected_mev_per_atom": 795, "dft_energy_ev_per_atom": -44.61, "magmom_total_mub_per_cell": 0.0, "lattice_angstrom": [[3.8860, 0.0000, 0.0000], [0.0000, 3.8860, 0.0000], [0.0000, 0.0000, 4.6746]], "species": ["Mg", "Te", "W", "W"], "frac_coords": [[0.5000, 0.5000, 0.5000], [0.0000, 0.0000, 0.5000], [0.0000, 0.5000, 0.0000], [0.5000, 0.0000, 0.0000]]}

# 13
{"formula": "YMgTe3", "functional": "SCAN", "state": "PBEsol geometry", "formation_energy_uncorrected_mev_per_atom": -350, "dft_energy_ev_per_atom": -29.26, "magmom_total_mub_per_cell": 0.0, "lattice_angstrom": [[-0.7854, 3.0639, 4.3031], [-4.3484, 2.0951, -2.2855], [-2.9993, -3.8398, 2.1865]], "species": ["Y", "Mg", "Te", "Te", "Te"], "frac_coords": [[0.5000, 0.5000, 0.5000], [0.0000, 0.0000, 0.0000], [0.0000, 0.5000, 0.0000], [0.0000, 0.0000, 0.5000], [0.5000, 0.0000, 0.0000]]}

# 14
{"formula": "YMg2Te", "functional": "SCAN", "state": "PBEsol geometry", "formation_energy_uncorrected_mev_per_atom": -340, "dft_energy_ev_per_atom": -19.10, "magmom_total_mub_per_cell": 1.0, "lattice_angstrom": [[3.7755, 0.0000, 0.0000], [0.0000, 3.7755, 0.0000], [0.0000, 0.0000, 7.0770]], "species": ["Mg", "Mg", "Te", "Y"], "frac_coords": [[0.0000, 0.0000, 0.7806], [0.0000, 0.0000, 0.2194], [0.5000, 0.5000, 0.0000], [0.5000, 0.5000, 0.5000]]}

# 15
{"formula": "YMgTe4", "functional": "SCAN", "state": "PBEsol geometry", "formation_energy_uncorrected_mev_per_atom": 94, "dft_energy_ev_per_atom": -30.21, "magmom_total_mub_per_cell": 0.0, "lattice_angstrom": [[6.2826, 0.0000, 0.0000], [3.1413, 5.4409, 0.0000], [3.1413, 1.8136, 5.1297]], "species": ["Mg", "Te", "Te", "Te", "Te", "Y"], "frac_coords": [[0.0000, 0.0000, 0.0000], [0.8748, 0.3751, 0.3751], [0.3751, 0.3751, 0.3751], [0.3751, 0.3751, 0.8748], [0.3751, 0.8748, 0.3751], [0.7500, 0.7500, 0.7500]]}

# 16
{"formula": "MgZnTe3", "functional": "SCAN", "state": "PBEsol geometry", "formation_energy_uncorrected_mev_per_atom": 453, "dft_energy_ev_per_atom": -25.60, "magmom_total_mub_per_cell": 0.0, "lattice_angstrom": [[-0.6885, -5.2986, -0.6212], [4.8115, -0.8873, 2.2353], [-2.3043, -0.2695, 4.8531]], "species": ["Zn", "Te", "Te", "Te", "Mg"], "frac_coords": [[0.5000, 0.5000, 0.5000], [0.0000, 0.5000, 0.0000], [0.0000, 0.0000, 0.5000], [0.5000, 0.0000, 0.0000], [0.0000, 0.0000, 0.0000]]}

# 17
{"formula": "MgZn2Te", "functional": "SCAN", "state": "PBEsol geometry", "formation_energy_uncorrected_mev_per_atom": 67, "dft_energy_ev_per_atom": -17.25, "magmom_total_mub_per_cell": 0.0, "lattice_angstrom": [[-1.5299, 2.6250, -1.0653], [-2.2791, -0.4291, 2.2334], [4.0696, 4.4005, 4.9984]], "species": ["Mg", "Te", "Zn", "Zn"], "frac_coords": [[0.0000, 0.0000, 0.5365], [0.5000, 0.5000, 0.2537], [0.0000, 0.0000, 0.9410], [0.5000, 0.5000, 0.7687]]}

# 18
{"formula": "MgZrTe", "functional": "SCAN", "state": "PBEsol geometry", "polymorph_energy_mev_per_atom": 0, "formation_energy_uncorrected_mev_per_atom": -285, "dft_energy_ev_per_atom": -24.59, "magmom_total_mub_per_cell": 0.0, "lattice_angstrom": [[3.6074, 0.0000, 0.0000], [-1.8037, 3.1241, 0.0000], [0.0000, 0.0000, 6.6679]], "species": ["Mg", "Te", "Zr"], "frac_coords": [[0.0000, 0.0000, 0.9955], [0.3333, 0.6667, 0.6477], [0.6667, 0.3333, 0.3568]]}

# 19
{"formula": "Mg2ZrTe", "functional": "SCAN", "state": "PBEsol geometry", "formation_energy_uncorrected_mev_per_atom": -385, "dft_energy_ev_per_atom": -19.86, "magmom_total_mub_per_cell": 0.0, "lattice_angstrom": [[-3.0543, 2.0899, -0.1458], [-0.3287, -0.2235, 3.6824], [3.5664, 5.2566, 0.6373]], "species": ["Mg", "Mg", "Te", "Zr"], "frac_coords": [[0.0000, 0.0000, 0.0009], [0.5000, 0.5000, 0.2409], [0.0000, 0.0000, 0.5181], [0.5000, 0.5000, 0.7401]]}

# 20
{"formula": "Mg2ZrTe", "functional": "SCAN", "state": "PBEsol geometry", "formation_energy_uncorrected_mev_per_atom": -205, "dft_energy_ev_per_atom": -19.68, "magmom_total_mub_per_cell": 0.0, "lattice_angstrom": [[3.8689, 0.0000, 0.0000], [0.0000, 3.8689, 0.0000], [0.0000, 0.0000, 5.8998]], "species": ["Mg", "Mg", "Te", "Zr"], "frac_coords": [[0.0000, 0.0000, 0.7437], [0.0000, 0.0000, 0.2563], [0.5000, 0.5000, 0.0000], [0.5000, 0.5000, 0.5000]]}

# 21
{"formula": "Mg2ZrTe", "functional": "SCAN", "state": "PBEsol geometry", "formation_energy_uncorrected_mev_per_atom": -8, "dft_energy_ev_per_atom": -19.48, "magmom_total_mub_per_cell": 0.0, "lattice_angstrom": [[-0.6001, -3.1562, -0.8066], [-0.4907, -2.2528, 2.3784], [-10.0231, 0.0858, 0.3202]], "species": ["Mg", "Mg", "Te", "Zr"], "frac_coords": [[0.2481, 0.2481, 0.2556], [0.7519, 0.7519, 0.7444], [0.5000, 0.5000, 0.5000], [0.0000, 0.0000, 0.0000]]}

# 22
{"formula": "MgZrTe", "functional": "SCAN", "state": "PBEsol geometry", "polymorph_energy_mev_per_atom": 455, "formation_energy_uncorrected_mev_per_atom": 170, "dft_energy_ev_per_atom": -24.14, "magmom_total_mub_per_cell": 0.0, "lattice_angstrom": [[-2.5514, 3.9840, 0.9052], [-3.3805, -0.0327, 3.4311], [0.7041, 2.4316, 4.0979]], "species": ["Mg", "Te", "Zr"], "frac_coords": [[0.0000, 0.0000, 0.0000], [0.5000, 0.5000, 0.5000], [0.7500, 0.7500, 0.7500]]}

# 23
{"formula": "Mg2ZrTe", "functional": "SCAN", "state": "PBEsol geometry", "formation_energy_uncorrected_mev_per_atom": -187, "dft_energy_ev_per_atom": -19.66, "magmom_total_mub_per_cell": 0.0, "lattice_angstrom": [[3.5550, 0.0000, 0.0000], [1.7775, 3.0787, 0.0000], [1.7775, 1.0262, 9.1131]], "species": ["Mg", "Mg", "Te", "Zr"], "frac_coords": [[0.9978, 0.9978, 0.0065], [0.7546, 0.7546, 0.7362], [0.5046, 0.5046, 0.4862], [0.2430, 0.2430, 0.2711]]}

# 24
{"formula": "Mg2ZrTe", "functional": "SCAN", "state": "PBEsol geometry", "formation_energy_uncorrected_mev_per_atom": -24, "dft_energy_ev_per_atom": -19.50, "magmom_total_mub_per_cell": 0.6, "lattice_angstrom": [[3.1854, -0.0072, 0.0000], [-1.0103, 3.0209, 0.0000], [0.0000, 0.0000, 9.7511]], "species": ["Mg", "Mg", "Te", "Zr"], "frac_coords": [[0.0000, 0.0000, 0.2456], [0.0000, 0.0000, 0.7544], [0.5000, 0.5000, 0.5000], [0.5000, 0.5000, 0.0000]]}

# 25
{"formula": "Mg3TiTl", "functional": "SCAN", "state": "PBEsol geometry", "dft_energy_ev_per_atom": -20.05, "magmom_total_mub_per_cell": 2.8, "ef_ev_per_atom": 0.61, "lattice_angstrom": [[-0.0248, 4.8935, -1.7928], [-3.3355, 1.3627, 3.7655], [4.0044, 1.1653, 3.1254]], "species": ["Tl", "Mg", "Mg", "Mg", "Ti"], "frac_coords": [[0.0000, 0.0000, 0.0000], [0.0000, 0.5000, 0.0000], [0.0000, 0.0000, 0.5000], [0.5000, 0.0000, 0.0000], [0.5000, 0.5000, 0.5000]]}

# 26
{"formula": "Y3MgTi", "functional": "SCAN", "state": "PBEsol geometry", "dft_energy_ev_per_atom": -19.98, "magmom_total_mub_per_cell": 1.6, "ef_ev_per_atom": 0.92, "lattice_angstrom": [[-5.3108, -0.0767, -1.2218], [-0.3370, -5.1376, 1.7872], [-1.1769, 1.8171, 5.0016]], "species": ["Y", "Y", "Y", "Mg", "Ti"], "frac_coords": [[0.0000, 0.5000, 0.0000], [0.0000, 0.0000, 0.5000], [0.5000, 0.0000, 0.0000], [0.0000, 0.0000, 0.0000], [0.5000, 0.5000, 0.5000]]}

# 27
{"formula": "MgZr3Ti", "functional": "SCAN", "state": "PBEsol geometry", "dft_energy_ev_per_atom": -21.92, "magmom_total_mub_per_cell": 0.0, "ef_ev_per_atom": 0.70, "lattice_angstrom": [[-3.7871, -2.8921, -1.2527], [1.8531, -0.4591, -4.5421], [2.5494, -3.9624, 1.4406]], "species": ["Mg", "Zr", "Zr", "Zr", "Ti"], "frac_coords": [[0.5000, 0.5000, 0.5000], [0.0000, 0.5000, 0.0000], [0.0000, 0.0000, 0.5000], [0.5000, 0.0000, 0.0000], [0.0000, 0.0000, 0.0000]]}

# 28
{"formula": "MgTl2", "functional": "SCAN", "state": "PBEsol geometry", "polymorph_energy_mev_per_atom": 46, "dft_energy_ev_per_atom": -49.93, "magmom_total_mub_per_cell": 0.0, "ef_ev_per_atom": -0.03, "lattice_angstrom": [[3.4510, 0.0000, 0.0000], [0.0000, 8.7827, 0.0000], [0.0000, -4.3914, 7.6061]], "species": ["Mg", "Mg", "Mg", "Tl", "Tl", "Tl", "Tl", "Tl", "Tl"], "frac_coords": [[0.0000, 0.6667, 0.3333], [0.0000, 0.3333, 0.6667], [0.5000, 0.0000, 0.0000], [0.0000, 0.7065, 0.7065], [0.0000, 0.0000, 0.2935], [0.0000, 0.2935, 0.0000], [0.5000, 0.3738, 0.3738], [0.5000, 0.0000, 0.6262], [0.5000, 0.6262, 0.0000]]}